Below is a geometry-optimized TlAs2Pd2 structure, with properties calculated at the PBE-GGA level.

CIF file:
```
data_TlAs2Pd2
_space_group_name_H-M_alt 'I 4/m m m'
_space_group_IT_number 139
_space_group_name_Hall '-I 4 2'
_cell_length_a 4.4021
_cell_length_b 4.4021
_cell_length_c 10.8599
_cell_angle_alpha 90.00
_cell_angle_beta 90.00
_cell_angle_gamma 90.00
loop_
_atom_site_label
_atom_site_fract_x
_atom_site_fract_y
_atom_site_fract_z
_atom_site_occupancy
Tl1 0.0000 0.0000 0.0000 1
As1 0.0000 0.0000 0.3672 1
Pd1 0.0000 0.5000 0.2500 1
```

---

Below is a geometry-optimized KNaLi2Cd structure, with properties calculated at the PBE-GGA level.

CIF file:
```
data_KNaLi2Cd
_space_group_name_H-M_alt 'P 4/m m m'
_space_group_IT_number 123
_space_group_name_Hall '-P 4 2'
_cell_length_a 5.5665
_cell_length_b 5.5665
_cell_length_c 6.4677
_cell_angle_alpha 90.00
_cell_angle_beta 90.00
_cell_angle_gamma 90.00
loop_
_atom_site_label
_atom_site_fract_x
_atom_site_fract_y
_atom_site_fract_z
_atom_site_occupancy
K1 0.0000 0.0000 0.0000 1
Na1 0.0000 0.0000 0.5000 1
Li1 0.0000 0.5000 0.5000 1
Cd1 0.5000 0.5000 0.0000 1
```

---

no.,energy relative to the elements (eV/atom),energy relative to the lowest polymorph listed for this composition (eV/atom)
1,-0.217,0.000
2,0.371,0.308